1.
The following is a DFT calculation (PBE) of a relaxed YScCu crystal.

```
YScCu
1.0
-2.847 -0.414 -3.438
-3.049 -1.810 2.743
-2.503 6.222 1.324
Y Cu Sc
2 2 2
Direct
0.000 0.500 0.875
0.500 0.000 0.125
0.000 0.500 0.277
0.500 0.000 0.723
0.500 0.500 0.500
0.000 0.000 0.500
```

Results
Symmetry   P4/nmm (129)
Size of the total moment   0.00 μB/f.u.
Final energy   -5.787 eV/atom
Formation energy from the elements   -156.8 meV/atom
Energy above the lowest structure with this stoichiometry   24 meV per atom

***

2.
The following is a DFT calculation (PBE) of a relaxed YScCu3 crystal.

```
YScCu3
1.0
4.898 0.000 0.000
0.000 4.898 0.000
0.000 0.000 4.898
Y Sc Cu
1 1 3
Direct
0.000 0.000 0.000
0.500 0.500 0.500
0.000 0.500 0.000
0.000 0.000 0.500
0.500 0.000 0.000
```

Results
Symmetry   Pm-3m (221)
Size of the total moment   0.00 μB/f.u.
Final energy   -4.141 eV/atom
Formation energy from the elements   876.1 meV/atom
Energy above the lowest structure with this stoichiometry   1115 meV per atom

***

3.
The following is a DFT calculation (PBE) of a relaxed YSc2Cu crystal.

```
YSc2Cu
1.0
6.076 0.003 -0.006
5.067 3.355 -0.006
2.041 0.615 4.498
Cu Sc Y
1 2 1
Direct
0.260 0.260 0.238
0.953 0.953 0.048
0.749 0.749 0.751
0.538 0.538 0.463
```

Results
Symmetry   Cm (8)
Size of the total moment   0.00 μB/f.u.
Final energy   -5.851 eV/atom
Formation energy from the elements   -45.1 meV/atom
Energy above the lowest structure with this stoichiometry   67 meV per atom

***

- final energy of number 2 (YScCu3)?
  -4.141 eV/atom